# 1
Entry from the Alexandria database: a relaxed structure of Nd4CdHg2Rh (PBE-GGA).

Cell: 5.3526 5.3526 25.8255 Å, 90.00 90.00 120.00°
With the nearest neighbours (Å) after each atom.
Space group R-3m (No. 166, hexagonal axes)
Asymmetric unit:
Nd  0.0000  0.0000  0.1131 [6 per cell]  1 Rh 2.92, 4 Hg 3.13-3.23
Nd  0.0000  0.0000  0.3678 [6 per cell]  3 Rh 3.22, 4 Hg 3.34-3.46, 1 Cd 3.41, 3 Nd 3.57
Cd  0.0000  0.0000  0.5000 [3 per cell]  8 Nd 3.39-3.41, 6 Hg 3.60
Hg  0.0000  0.0000  0.2383 [6 per cell]  8 Nd 3.13-3.46
Rh  0.0000  0.0000  0.0000 [3 per cell]  8 Nd 2.92-3.22

Results
As for the crystal system: trigonal. As for the formation energy: -0.485 eV per atom.



# 2
Entry from the Alexandria database: a relaxed structure of VZn2Se (PBE-GGA).

Cell: 7.6196 7.6196 5.0073 Å, 90.00 90.00 90.00°
With the nearest neighbours (Å) after each atom.
Space group I-42d (No. 122)
Asymmetric unit:
V  0.0000  0.0000  0.0000 [4 per cell]  2 Se 2.50
Zn  0.2311  0.7500  0.6250 [8 per cell]  2 Zn 2.52, 2 Se 2.67
Se  0.0000  0.0000  0.5000 [4 per cell]  2 V 2.50, 4 Zn 2.67

Results
For the energy relative to the elements, uncorrected, the calculation gives 0.59 eV/f.u. As for the crystal system: tetragonal.



# 3
Entry from the Alexandria database: a relaxed structure of Y2ZrIn (PBE-GGA).

Cell: 7.5696 7.5696 7.5696 Å, 90.00 90.00 90.00°
With the nearest neighbours (Å) after each atom.
Space group Fm-3m (No. 225)
Asymmetric unit:
Y  0.2500  0.2500  0.2500 [8 per cell]  4 Zr 3.28, 4 In 3.28
Zr  0.0000  0.0000  0.0000 [4 per cell]  8 Y 3.28
In  0.0000  0.0000  0.5000 [4 per cell]  8 Y 3.28

Results
As for the crystal system: cubic. As for the formation energy: -0.093 eV per atom.



# 4
Entry from the Alexandria database: a relaxed structure of TaAl2Rh (PBE-GGA).

Cell: 2.8726 4.1393 5.3686 Å, 90.00 100.83 90.00°
With the nearest neighbours (Å) after each atom.
Space group P2/m (No. 10)
Asymmetric unit:
Ta  0.0000  0.0000  0.0000 [1 per cell]  8 Al 2.79-2.95, 2 Rh 2.80, 2 Ta 2.87
Al  0.3523  0.5000  0.7408 [2 per cell]  2 Rh 2.52, 1 Al 2.75, 2 Ta 2.79
Rh  0.5000  0.0000  0.5000 [1 per cell]  4 Al 2.52, 2 Ta 2.80

Results
As for the crystal system: monoclinic. As for the formation energy: -0.433 eV per atom.



# 5
Entry from the Alexandria database: a relaxed structure of Y3PbO (PBE-GGA).

Cell: 7.4108 7.4108 19.4542 Å, 90.00 90.00 120.00°
With the nearest neighbours (Å) after each atom.
Space group R-3c (No. 167, hexagonal axes)
Asymmetric unit:
Y  0.0000  0.2871  0.2500 [18 per cell]  1 O 2.13
Pb  0.0000  0.0000  0.0000 [6 per cell]  6 Y 3.11
O  0.0000  0.0000  0.2500 [6 per cell]  3 Y 2.13

Results
For the energy relative to the elements, uncorrected, the calculation gives -5.45 eV/f.u. As for the crystal system: trigonal.



# 6
Entry from the Alexandria database: a relaxed structure of Pr4SmRh (PBE-GGA).

Cell: 17.7604 7.6735 6.1108 Å, 90.00 110.06 90.00°
With the nearest neighbours (Å) after each atom.
Space group C2/m (No. 12)
Asymmetric unit:
Pr  0.0000  0.2058  0.0000 [4 per cell]  2 Rh 2.80
Pr  0.1169  0.2478  0.6168 [8 per cell]  2 Rh 3.08
Pr  0.1722  0.5000  0.1721 [4 per cell]  2 Rh 3.32, 2 Pr 3.65
Sm  0.1981  0.0000  0.1983 [4 per cell]  12 Pr 3.64-3.86
Rh  0.0000  0.5000  0.2714 [4 per cell]  1 Rh 2.79, 6 Pr 2.80-3.08

Results
As for the crystal system: monoclinic. As for the formation energy: -0.173 eV per atom.



# 7
Entry from the Alexandria database: a relaxed structure of SrTbNi4 (PBE-GGA).

Cell: 7.2982 7.2982 7.2982 Å, 90.00 90.00 90.00°
With the nearest neighbours (Å) after each atom.
Space group F-43m (No. 216)
Asymmetric unit:
Sr  0.0000  0.0000  0.0000 [4 per cell]  12 Ni 3.03, 4 Tb 3.16
Tb  0.2500  0.2500  0.2500 [4 per cell]  12 Ni 3.02, 4 Sr 3.16
Ni  0.1241  0.1241  0.6241 [16 per cell]  6 Ni 2.56-2.60

Results
As for the crystal system: cubic. As for the formation energy: -0.176 eV per atom.



# 8
Entry from the Alexandria database: a relaxed structure of YMn3Ge3 (PBE-GGA).

Cell: 6.6483 6.6483 6.6483 Å, 90.00 90.00 90.00°
With the nearest neighbours (Å) after each atom.
Space group Pm-3n (No. 223)
Asymmetric unit:
Y  0.0000  0.0000  0.0000 [2 per cell]  12 Ge 3.72, 12 Mn 3.72
Mn  0.0000  0.2500  0.5000 [6 per cell]  4 Ge 2.35
Ge  0.0000  0.5000  0.2500 [6 per cell]  4 Mn 2.35

Results
As for the crystal system: cubic. As for the formation energy: 0.298 eV per atom.



# 9
Entry from the Alexandria database: a relaxed structure of Sc2Ni9W (PBE-GGA).

Cell: 3.6818 3.6818 11.0655 Å, 90.00 90.00 90.00°
With the nearest neighbours (Å) after each atom.
Space group P4/mmm (No. 123)
Asymmetric unit:
Sc  0.0000  0.0000  0.1638 [2 per cell]  12 Ni 2.58-2.71
Ni  0.0000  0.5000  0.0000 [2 per cell]  4 Sc 2.58, 8 Ni 2.60-2.65
Ni  0.0000  0.5000  0.3430 [4 per cell]  2 W 2.53, 8 Ni 2.53-2.64, 2 Sc 2.71
Ni  0.5000  0.5000  0.1722 [2 per cell]  4 Sc 2.61, 8 Ni 2.64-2.65
Ni  0.5000  0.5000  0.5000 [1 per cell]  8 Ni 2.53, 4 W 2.60
W  0.0000  0.0000  0.5000 [1 per cell]  12 Ni 2.53-2.60

Results
As for the crystal system: tetragonal. As for the formation energy: -0.312 eV per atom.



# 10
Entry from the Alexandria database: a relaxed structure of Sc6GePb2C (PBE-GGA).

Cell: 4.8434 4.8434 9.5354 Å, 90.00 90.00 90.00°
With the nearest neighbours (Å) after each atom.
Space group P4/mmm (No. 123)
Asymmetric unit:
Sc  0.0000  0.0000  0.2280 [2 per cell]  1 C 2.17
Sc  0.0000  0.5000  0.0000 [2 per cell]  2 C 2.42
Sc  0.0000  0.5000  0.5000 [2 per cell]  2 Ge 2.42
Ge  0.0000  0.0000  0.5000 [1 per cell]  6 Sc 2.42-2.59
Pb  0.5000  0.5000  0.2464 [2 per cell]  12 Sc 3.37-3.43
C  0.0000  0.0000  0.0000 [1 per cell]  6 Sc 2.17-2.42

Results
As for the crystal system: tetragonal. As for the formation energy: -0.462 eV per atom.



# 11
Entry from the Alexandria database: a relaxed structure of AcScAl2Si (PBE-GGA).

Cell: 4.3960 4.4293 11.8637 Å, 90.00 90.00 90.00°
With the nearest neighbours (Å) after each atom.
Space group Imm2 (No. 44)
Asymmetric unit:
Ac  0.0000  0.0000  0.0000 [2 per cell]  4 Si 3.37, 8 Al 3.39-3.71, 4 Sc 3.63-3.76
Sc  0.0000  0.5000  0.7571 [2 per cell]  2 Si 2.72, 2 Al 2.81
Al  0.0000  0.0000  0.6119 [2 per cell]  1 Si 2.60, 2 Al 2.75, 2 Sc 2.81
Al  0.0000  0.5000  0.2510 [2 per cell]  2 Al 2.75, 2 Si 2.78
Si  0.0000  0.0000  0.3923 [2 per cell]  3 Al 2.60-2.78, 2 Sc 2.72

Results
For the energy relative to the elements, uncorrected, the calculation gives -2.46 eV/f.u. As for the crystal system: orthorhombic.



# 12
Entry from the Alexandria database: a relaxed structure of ScSnAsBr2 (PBE-GGA).

Cell: 5.1422 5.1422 5.5016 Å, 90.00 90.00 90.00°
With the nearest neighbours (Å) after each atom.
Space group P4/mmm (No. 123)
Asymmetric unit:
Sc  0.0000  0.0000  0.0000 [1 per cell]  4 Br 2.57, 2 As 2.75
Sn  0.5000  0.5000  0.5000 [1 per cell]  4 As 3.64, 8 Br 3.77
As  0.0000  0.0000  0.5000 [1 per cell]  2 Sc 2.75
Br  0.0000  0.5000  0.0000 [2 per cell]  2 Sc 2.57

Results
For the energy relative to the elements, uncorrected, the calculation gives -2.78 eV/f.u. As for the crystal system: tetragonal.



no.,total magnetization (μB per formula unit),E_tot (eV/atom)
1,0.0,-3.978
2,2.7,-3.640
3,2.7,-6.146
4,0.0,-7.105
5,0.0,-6.702
6,0.0,-5.371
7,0.0,-5.082
8,8.6,-6.535
9,0.0,-6.783
10,0.0,-6.387
11,0.0,-5.162
12,0.0,-4.222